The following is a PBE calculation of crystalline NaSmHo4S8 at its relaxed geometry, from the Alexandria database.

Results
Its total energy is -84.7 eV for the cell shown. Its space group is R3m. The raw formation energy is -1.951 eV/atom. The value obtained for the calculated volume is 376.4 Å³ per cell.

```
NaSmHo4S8
1.0
-3.222 -7.337 0.961
-2.185 -4.325 -6.454
4.291 -6.596 -2.079
Ho S Sm Na
4 8 1 1
direct
0.005 0.005 0.504 Ho
0.487 0.005 0.504 Ho
0.626 0.626 0.123 Ho
0.005 0.487 0.504 Ho
0.754 0.228 0.263 S
0.243 0.243 0.732 S
0.782 0.243 0.732 S
0.754 0.754 0.263 S
0.243 0.782 0.732 S
0.228 0.754 0.263 S
0.238 0.238 0.285 S
0.758 0.758 0.726 S
0.004 0.004 0.987 Sm
0.374 0.374 0.879 Na
```

The following is a PBE calculation of crystalline CeVP2 at its relaxed geometry, from the Alexandria database.

Results
Its total energy is -26.0 eV for the cell shown. The calculation puts the polymorph energy (0 for the lowest one) at 2.80 eV per formula unit. Its space group is R-3m. The calculation puts the formation energy at -38 meV/atom. The value obtained for the calculated volume is 115.3 Å³ per cell.

```
CeVP2
1.0
4.275 0.000 0.000
2.138 3.702 0.000
2.138 1.234 7.282
Ce P V
1 2 1
direct
0.500 0.500 0.500 Ce
0.105 0.105 0.684 P
0.895 0.895 0.316 P
0.000 0.000 0.000 V
```

The following is a PBE calculation of crystalline NaPrCl at its relaxed geometry, from the Alexandria database.

Results
Its total energy is -43.3 eV for the cell shown. Its space group is P-3m1. The raw formation energy is -0.962 eV/atom. The value obtained for the calculated volume is 351.8 Å³ per cell.

```
NaPrCl
1.0
3.730 0.000 0.000
-1.865 3.230 0.000
0.000 0.000 29.197
Na Cl Pr
4 4 4
direct
0.333 0.667 0.942 Na
0.667 0.333 0.181 Na
0.667 0.333 0.058 Na
0.333 0.667 0.819 Na
0.667 0.333 0.883 Cl
0.333 0.667 0.629 Cl
0.333 0.667 0.117 Cl
0.667 0.333 0.371 Cl
0.667 0.333 0.551 Pr
0.333 0.667 0.297 Pr
0.333 0.667 0.449 Pr
0.667 0.333 0.703 Pr
```

The following is a PBE calculation of crystalline Pr2MgAg2Pd5 at its relaxed geometry, from the Alexandria database.

Results
Its total energy is -95.3 eV for the cell shown. Its space group is P4/mbm. The calculation puts the formation energy at -481 meV/atom. The value obtained for the calculated volume is 398.8 Å³ per cell.

```
Pr2MgAg2Pd5
1.0
-0.028 1.247 -3.840
2.632 -9.110 -2.979
-9.584 -2.524 -0.751
Pd Pr Ag Mg
10 4 4 2
direct
0.500 0.558 0.697 Pd
0.500 0.500 0.000 Pd
0.500 0.058 0.803 Pd
0.500 0.442 0.303 Pd
0.500 0.942 0.197 Pd
0.500 0.303 0.558 Pd
0.500 0.697 0.442 Pd
0.500 0.000 0.500 Pd
0.500 0.803 0.942 Pd
0.500 0.197 0.058 Pd
0.000 0.674 0.174 Pr
0.000 0.174 0.326 Pr
0.000 0.326 0.826 Pr
0.000 0.826 0.674 Pr
0.000 0.625 0.875 Ag
0.000 0.375 0.125 Ag
0.000 0.125 0.625 Ag
0.000 0.875 0.375 Ag
0.000 0.500 0.500 Mg
0.000 0.000 0.000 Mg
```